First-principles (PBE) data for a relaxed structure of Ta4TlSnC2, as listed in the Open Quantum Materials Database.

Cell and atoms, written as extended XYZ:
```
8
Lattice="3.232 0.000 0.000 -1.616 2.799 0.000 0.000 0.000 14.164" Properties=species:S:1:pos:R:3 pbc="T T T"
Ta 0.000 0.000 2.329
Ta 0.000 0.000 11.835
Ta 1.616 0.933 4.650
Ta 1.616 0.933 9.514
Tl 0.000 0.000 7.082
Sn 1.616 0.933 0.000
C 0.000 1.866 3.500
C 0.000 1.866 10.664
```

4
Lattice="0.000 3.127 3.127 3.127 0.000 3.127 3.127 3.127 0.000" Properties=species:S:1:pos:R:3 comment="YBeGaCo | the Open Quantum Materials Database | PBE | optimized geometry" e_above_lowest_polymorph_mev_per_atom=6 pbc="T T T"
Y 0.000 0.000 0.000
Be 4.690 4.690 4.690
Ga 1.563 1.563 1.563
Co 3.127 3.127 3.127

1
Lattice="-1.851 1.851 2.633 1.851 -1.851 2.633 1.851 1.851 -2.633" Properties=species:S:1:pos:R:3 comment="Pr | the Open Quantum Materials Database | PBE | optimized geometry" e_above_lowest_polymorph_mev_per_atom=6 delta_e_f_ev_per_atom=0.006 pbc="T T T"
Pr 0.000 0.000 0.000

no.,magnetic moment (μB per cell),uncorrected energy (eV/atom),calculated volume (Å³ per cell)
1,0.00,-9.310,128.1
2,0.00,-5.148,61.2
3,0.00,-4.769,36.1